Record 1
Material: CePaTcIr
Method: DFT, PBE
State: relaxed

```
data_CePaTcIr
_cell_length_a 4.891
_cell_length_b 4.891
_cell_length_c 4.891
_cell_angle_alpha 60.00
_cell_angle_beta 60.00
_cell_angle_gamma 60.00
_space_group_name_H-M_alt 'P 1'
_space_group_IT_number 1
_space_group_name_Hall 'P 1'
loop_
_atom_site_label
_atom_site_fract_x
_atom_site_fract_y
_atom_site_fract_z
_atom_site_occupancy
Tc1 0.500 0.500 0.500 1
Ir1 0.000 0.000 0.000 1
Pa1 0.750 0.750 0.750 1
Ce1 0.250 0.250 0.250 1
```

## Properties
magnetization = 0.00 μB/f.u.
uncorrected energy = -36.06 eV per cell
energy relative to the elements = -1.404 eV/f.u.
SG = F-43m (216)
volume = 82.7 Å³/cell
DOS at the Fermi energy = 5.609 states/eV per cell

***

Record 2
Material: Nd2HoEr4
Method: DFT, PBE
State: relaxed

```
data_Nd2HoEr4
_cell_length_a 3.606
_cell_length_b 3.606
_cell_length_c 20.071
_cell_angle_alpha 95.17
_cell_angle_beta 90.00
_cell_angle_gamma 120.00
_space_group_name_H-M_alt 'P 1'
_space_group_IT_number 1
_space_group_name_Hall 'P 1'
loop_
_atom_site_label
_atom_site_fract_x
_atom_site_fract_y
_atom_site_fract_z
_atom_site_occupancy
Er1 0.001 0.002 0.239 1
Er2 0.524 0.047 0.808 1
Er3 0.904 0.807 0.947 1
Er4 0.429 0.859 0.529 1
Nd1 0.619 0.238 0.093 1
Nd2 0.715 0.430 0.384 1
Ho1 0.810 0.619 0.669 1
```

## Properties
magnetization = 0.04 μB/f.u.
uncorrected energy = -32.30 eV per cell
energy relative to the elements = 0.069 eV/f.u.
SG = Cm (8)
excess energy over the best structure of this formula in the dataset = 0.000 eV/atom
volume = 224.8 Å³/cell
DOS at the Fermi energy = 11.583 states/eV per cell

***

Record 3
Material: PuMg2AgO6
Method: DFT, PBE
State: relaxed

```
data_PuMg2AgO6
_cell_length_a 5.438
_cell_length_b 5.437
_cell_length_c 5.859
_cell_angle_alpha 62.35
_cell_angle_beta 62.34
_cell_angle_gamma 60.00
_space_group_name_H-M_alt 'P 1'
_space_group_IT_number 1
_space_group_name_Hall 'P 1'
loop_
_atom_site_label
_atom_site_fract_x
_atom_site_fract_y
_atom_site_fract_z
_atom_site_occupancy
Ag1 0.804 0.804 0.589 1
O1 0.715 0.147 0.768 1
O2 0.147 0.370 0.768 1
O3 0.589 0.250 0.232 1
O4 0.929 0.589 0.232 1
O5 0.370 0.715 0.768 1
O6 0.250 0.929 0.232 1
Pu1 0.323 0.323 0.030 1
Mg1 0.527 0.527 0.419 1
Mg2 0.008 0.008 0.975 1
```

## Properties
magnetization = 0.94 μB/f.u.
uncorrected energy = -70.92 eV per cell
SG = R3 (146)
formation energy from raw total energies = -2079 meV/atom
volume = 126.7 Å³/cell

***

Record 4
Material: Pm6Te3P2Cl
Method: DFT, PBE
State: relaxed

```
data_Pm6Te3P2Cl
_cell_length_a 4.229
_cell_length_b 8.724
_cell_length_c 9.668
_cell_angle_alpha 104.38
_cell_angle_beta 102.63
_cell_angle_gamma 90.00
_space_group_name_H-M_alt 'P 1'
_space_group_IT_number 1
_space_group_name_Hall 'P 1'
loop_
_atom_site_label
_atom_site_fract_x
_atom_site_fract_y
_atom_site_fract_z
_atom_site_occupancy
Pm1 0.985 0.754 0.970 1
Pm2 0.015 0.246 0.030 1
Pm3 0.668 0.117 0.336 1
Pm4 0.332 0.883 0.664 1
Pm5 0.324 0.438 0.648 1
Pm6 0.676 0.562 0.352 1
Te1 0.838 0.166 0.676 1
Te2 0.162 0.834 0.324 1
Te3 0.500 0.500 0.000 1
P1 0.832 0.665 0.664 1
P2 0.168 0.335 0.336 1
Cl1 0.500 0.000 0.000 1
```

## Properties
magnetization = 0.00 μB/f.u.
uncorrected energy = -68.83 eV per cell
SG = C2/m (12)
formation energy from raw total energies = -1520 meV/atom
volume = 336.6 Å³/cell
DOS at the Fermi energy = 5.108 states/eV per cell

***

> Number 1 is which compound?

CePaTcIr